A geometry-optimized KSeI3 structure. Source: Alexandria, functional GGA-PBE.

Results
**Magnetic moment**: 4.0 μB per formula unit
**Theoretical density**: 2.85 Mg/m³
**Formation energy (no corrections)**: 270 meV/atom
**Relative energy among the computed polymorphs**: 812 meV per atom

Cell: 6.6261 6.6261 6.6261 Å, 90.00 90.00 90.00°
Last column: nearest neighbours and their distance in Å.
Space group Pm-3m (No. 221)
One atom of each set of equivalent atoms:
K: 0.0000 0.0000 0.0000  6 I 3.31
Se: 0.5000 0.5000 0.5000  12 I 4.69
I: 0.0000 0.0000 0.5000  2 K 3.31